[1]
CeHo2TmS6: relaxed, PBE.

a b c (Å): 7.356 7.356 7.356
angles (deg): 56.33 56.33 56.33
Atoms (fractional coordinates):
Ce (0.000, 0.000, 0.000)
Ho (0.203, 0.203, 0.203)
Ho (0.708, 0.708, 0.708)
Tm (0.506, 0.506, 0.506)
S (0.108, 0.413, 0.801)
S (0.324, 0.909, 0.585)
S (0.413, 0.801, 0.108)
S (0.585, 0.324, 0.909)
S (0.801, 0.108, 0.413)
S (0.909, 0.585, 0.324)

Uncorrected energy: -64.53 eV/cell
Space group: R3 (146)
DOS(E_F): 4.94 states/eV/cell


[2]
MgMnTcSn: relaxed, PBE.

a b c (Å): 4.540 4.540 4.540
angles (deg): 60.00 60.00 60.00
Atoms (fractional coordinates):
Mg (0.000, 0.000, 0.000)
Mn (0.250, 0.250, 0.250)
Tc (0.750, 0.750, 0.750)
Sn (0.500, 0.500, 0.500)

ΔH_f (0 K): 0.1332 eV/atom
Uncorrected energy: -24.60 eV/cell
Space group: F-43m (216)
DOS(E_F): 2.46 states/eV/cell


[3]
Tb2Tl3CrS6: relaxed, PBE.

a b c (Å): 6.756 6.756 7.811
angles (deg): 98.26 98.26 119.92
Atoms (fractional coordinates):
Tb (0.166, 0.834, 0.000)
Tb (0.834, 0.166, 0.000)
Tl (0.000, 0.000, 0.500)
Tl (0.326, 0.674, 0.500)
Tl (0.674, 0.326, 0.500)
Cr (0.500, 0.500, 0.000)
S (0.133, 0.437, 0.812)
S (0.261, 0.261, 0.197)
S (0.437, 0.133, 0.812)
S (0.563, 0.867, 0.188)
S (0.739, 0.739, 0.803)
S (0.867, 0.563, 0.188)

Uncorrected energy: -64.36 eV/cell
Space group: C2/m (12)